Below is a relaxed BaCoCl crystal, with properties calculated at the PBE-GGA level.

It has space group P-1 (No. 2), with a = 4.2174 Å, b = 4.2234 Å, c = 12.1417 Å, α = 80.61°, β = 80.25° and γ = 60.06°. Symmetry generates all atoms from Ba at (0.0698, 0.0626, 0.2926), Co at (0.3333, 0.3332, 0.5002) and Cl at (0.2136, 0.2270, 0.8553).

The calculation puts the energy relative to the elements, uncorrected at -0.879 eV per atom. For the total magnetization, the calculation gives 1.134 μB per formula unit. The calculation puts the density of states at the Fermi level at 2.34 states/eV/cell.

=====

Below is a relaxed Ac4Fe crystal, with properties calculated at the PBE-GGA level.

It has space group Fdd2 (No. 43), with a = 13.6279 Å, b = 14.1141 Å, c = 8.1810 Å, α = 90.00°, β = 90.00° and γ = 90.00°. Symmetry generates all atoms from Ac at (0.1164, 0.0803, 0.0000), Ac at (0.1201, 0.0869, 0.4929) and Fe at (0.0000, 0.0000, 0.2419).

For the total magnetization, the calculation gives 0.000 μB per formula unit. The formation energy is 0.111 eV per atom. The calculation puts the density of states at the Fermi level at 43.19 states/eV/cell.